[1]
# CdFe2W, relaxed, DFT PBE
# magnetization: 3.39 Bohr magnetons per cell
# SG: Cm
# formation energy: 419 meV/atom
data_CdFe2W
_chemical_formula_sum 'Cd1 Fe2 W1'
_cell_length_a 4.988
_cell_length_b 4.988
_cell_length_c 4.568
_cell_angle_alpha 72.03
_cell_angle_beta 72.03
_cell_angle_gamma 32.55
_symmetry_space_group_name_H-M 'P 1'
_symmetry_Int_Tables_number 1
loop_
_symmetry_equiv_pos_as_xyz
'x,y,z'
loop_
_atom_site_label
_atom_site_type_symbol
_atom_site_fract_x
_atom_site_fract_y
_atom_site_fract_z
Cd1 Cd 0.737 0.737 0.785
Fe1 Fe 0.976 0.976 0.998
Fe2 Fe 0.269 0.269 0.262
W1 W 0.518 0.518 0.455


[2]
# CeCoP2Ir2, relaxed, DFT PBE
# magnetization: 0.00 Bohr magnetons per cell
# SG: P4/mmm
# formation energy: -389 meV/atom
data_CeCoP2Ir2
_chemical_formula_sum 'Ce1 Co1 P2 Ir2'
_cell_length_a 4.309
_cell_length_b 4.309
_cell_length_c 5.306
_cell_angle_alpha 90.00
_cell_angle_beta 90.00
_cell_angle_gamma 90.00
_symmetry_space_group_name_H-M 'P 1'
_symmetry_Int_Tables_number 1
loop_
_symmetry_equiv_pos_as_xyz
'x,y,z'
loop_
_atom_site_label
_atom_site_type_symbol
_atom_site_fract_x
_atom_site_fract_y
_atom_site_fract_z
P1 P 0.500 0.000 0.000
P2 P 0.000 0.500 0.000
Ir1 Ir 0.500 0.500 0.258
Ir2 Ir 0.500 0.500 0.742
Co1 Co 0.000 0.000 0.000
Ce1 Ce 0.000 0.000 0.500


[3]
# Be3NbN, relaxed, DFT PBE
# magnetization: 0.00 Bohr magnetons per cell
# SG: Pm-3m
# formation energy from raw total energies: 0.339 eV per atom
# relative energy among the computed polymorphs: 0.00 eV/f.u.
data_Be3NbN
_chemical_formula_sum 'Be3 Nb1 N1'
_cell_length_a 3.677
_cell_length_b 3.677
_cell_length_c 3.677
_cell_angle_alpha 90.00
_cell_angle_beta 90.00
_cell_angle_gamma 90.00
_symmetry_space_group_name_H-M 'P 1'
_symmetry_Int_Tables_number 1
loop_
_symmetry_equiv_pos_as_xyz
'x,y,z'
loop_
_atom_site_label
_atom_site_type_symbol
_atom_site_fract_x
_atom_site_fract_y
_atom_site_fract_z
Be1 Be 0.500 0.000 0.000
Be2 Be 0.000 0.500 0.000
Be3 Be 0.000 0.000 0.500
N1 N 0.000 0.000 0.000
Nb1 Nb 0.500 0.500 0.500


[4]
# CaBe2B8, relaxed, DFT PBE
# magnetization: 0.00 Bohr magnetons per cell
# SG: C2/m
# formation energy: 81 meV/atom
data_CaBe2B8
_chemical_formula_sum 'Ca1 Be2 B8'
_cell_length_a 5.097
_cell_length_b 4.337
_cell_length_c 5.422
_cell_angle_alpha 76.21
_cell_angle_beta 61.96
_cell_angle_gamma 90.00
_symmetry_space_group_name_H-M 'P 1'
_symmetry_Int_Tables_number 1
loop_
_symmetry_equiv_pos_as_xyz
'x,y,z'
loop_
_atom_site_label
_atom_site_type_symbol
_atom_site_fract_x
_atom_site_fract_y
_atom_site_fract_z
Be1 Be 0.227 0.734 0.547
Be2 Be 0.773 0.266 0.453
B1 B 0.626 0.836 0.748
B2 B 0.374 0.164 0.252
B3 B 0.840 0.521 0.663
B4 B 0.430 0.822 0.141
B5 B 0.503 0.479 0.337
B6 B 0.160 0.479 0.337
B7 B 0.497 0.521 0.663
B8 B 0.570 0.178 0.859
Ca1 Ca 0.000 0.000 0.000


Which value of magnetization does entry 4 give?
0.00 Bohr magnetons per cell